The following is a PBEsol calculation of a relaxed structure of Hf2AgP, from Alexandria via LeMat-Bulk.

Calculated values
Its density of states at the Fermi level is 13.772 states/eV per cell. The calculation puts the total energy at -0.57002 Ry/atom.

Structure (CIF):
```
data_Hf2AgP
_symmetry_space_group_name_H-M 'I -4 2 d'
_symmetry_Int_Tables_number 122
_symmetry_space_group_name_Hall 'I -4 2bw'
_cell_length_a 7.187
_cell_length_b 7.187
_cell_length_c 5.833
_cell_angle_alpha 90.00
_cell_angle_beta 90.00
_cell_angle_gamma 90.00
loop_
_atom_site_label
_atom_site_type_symbol
_atom_site_fract_x
_atom_site_fract_y
_atom_site_fract_z
Hf1 Hf 0.225 0.250 0.125
Ag1 Ag 0.000 0.000 0.500
P1 P 0.000 0.000 0.000
```